Entry from Alexandria via LeMat-Bulk: a geometry-optimized CrFePdF6 structure (GGA+U).

Calculated values
Calculated total energy (eV per formula unit): -48.22
Mass density (g cm⁻³): 4.29
Magnetization (Bohr magnetons per cell): 12.00
Space group: P-31c, No. 163

abc: 5.4668 5.4668 9.8269
angles: 90.00 90.00 120.00
Site moments in Bohr magnetons follow the coordinates.
Atoms (fractional coordinates):
F1 0.3538 0.3739 0.8569  0.00
F2 0.3538 0.9799 0.6431  0.00
F3 0.3739 0.3538 0.3569  0.00
F4 0.6261 0.9799 0.8569  0.00
F5 0.9799 0.6261 0.3569  0.00
F6 0.6462 0.0201 0.3569  0.00
F7 0.0201 0.6462 0.8569  0.00
F8 0.9799 0.3538 0.1431  0.00
F9 0.6261 0.6462 0.6431  0.00
F10 0.6462 0.6261 0.1431  0.00
F11 0.3739 0.0201 0.1431  0.00
F12 0.0201 0.3739 0.6431  0.00
Cr1 0.3333 0.6667 0.7500  3.01
Cr2 0.6667 0.3333 0.2500  3.01
Pd1 0.0000 0.0000 0.0000  -0.91
Pd2 0.0000 0.0000 0.5000  -0.91
Fe1 0.3333 0.6667 0.2500  3.80
Fe2 0.6667 0.3333 0.7500  3.80